VASP calculation (PBE) on a relaxed structure of AgTe2S.

Lattice parameters (Å, degrees): 8.1883 8.1883 8.1883 30.65 30.65 30.65
Element x y z (fractional)
S: 0.0000 0.0000 0.0000
Te: 0.8940 0.8940 0.8940
Te: 0.1060 0.1060 0.1060
Ag: 0.5000 0.5000 0.5000

Output
formation energy without anion corrections = 0.87 eV/f.u.
E_tot = -12.40 eV per cell
spin magnetization = 0.00 μB per formula unit